[1]
Computed, not measured: a relaxed structure of Sr2Mg2Ni15 at the PBE-GGA level of DFT.

Values from the calculation:
Electronic total energy: -4.971 eV/atom
Energy relative to the elements: -1.4 kcal/mol of atoms

Cell lengths 8.5597, 8.5597, 12.3526 Å; angles 90.00, 90.00, 120.00 degrees
Space group R-3m (No. 166, hexagonal axes)
Asymmetric unit:
1 Sr 0.0000 0.0000 0.1486 x6
2 Mg 0.0000 0.0000 0.3956 x6
3 Ni 0.0000 0.2917 0.5000 x18
4 Ni 0.0000 0.5000 0.0000 x9
5 Ni 0.0035 0.5018 0.3433 x18

***

[2]
Computed, not measured: a relaxed structure of Dy4HgBiSe2 at the PBE-GGA level of DFT.

Values from the calculation:
Electronic total energy: -4.859 eV/atom

Cell lengths 7.076, 4.152, 7.699 Å; angles 90.00, 108.15, 90.00 degrees
Space group P2/m (No. 10)
Asymmetric unit:
1 Dy 0.239 0.000 0.229 x2
2 Dy 0.251 0.500 0.771 x2
3 Hg 0.000 0.000 0.500 x1
4 Bi 0.500 0.500 0.500 x1
5 Se 0.000 0.500 0.000 x1
6 Se 0.500 0.000 0.000 x1

***

[3]
Computed, not measured: a relaxed structure of Cr2RhW at the PBE-GGA level of DFT.

Values from the calculation:
Electronic total energy: -9.785 eV/atom
Energy relative to the elements: 2.4 kcal/mol of atoms
Distance to the lowest polymorph of the same formula: 60 meV per atom

Cell lengths 2.660, 4.017, 5.228 Å; angles 90.00, 103.55, 90.00 degrees
Space group Pm (No. 6)
Asymmetric unit:
1 Cr 0.000 0.000 0.000 x1
2 Cr 0.341 0.500 0.195 x1
3 Rh 0.839 0.000 0.464 x1
4 W 0.454 0.500 0.729 x1

***

Number 1: total magnetic moment 0.29 μB per atom. Number 2: total magnetic moment 0.00 μB per atom. Number 3: total magnetic moment 0.00 μB per atom.